The following is a GGA+U calculation of an optimized crystal structure of FeCuP2O8, from the Alexandria database.

extended XYZ file:
```
36
Lattice="8.5072 0.0110 0.0078 4.3488 7.4327 0.0000 4.3488 2.4441 7.0193" Properties=species:S:1:pos:R:3 pbc="T T T"
Fe 6.1596 6.3732 4.5294
Fe 11.1072 8.4670 6.0174
Fe 11.0170 3.5312 2.5096
Cu 8.5010 0.0147 0.0104
Cu 6.0872 1.4270 1.0141
Cu 8.6114 4.9387 3.5099
P 5.5930 3.1954 3.8170
P 7.3794 7.7087 1.7625
P 8.6523 6.3749 6.7005
P 8.5302 3.5000 0.3349
P 9.8258 2.1953 5.2864
P 11.5979 6.7102 3.1952
O 2.4928 1.5993 2.2722
O 3.2410 3.9506 0.7632
O 4.1759 3.6177 3.4799
O 5.5051 2.4591 5.1987
O 6.2683 2.3553 2.7309
O 6.5694 4.4151 4.0021
O 6.4099 7.2646 0.6128
O 7.3558 6.5753 2.8536
O 7.5016 4.5877 0.0770
O 8.0674 6.0732 5.2713
O 7.9208 2.0506 0.3114
O 8.3736 2.0714 5.7147
O 8.8453 7.7579 1.3263
O 9.2511 7.8235 6.6591
O 9.0975 3.7675 1.7706
O 9.7155 5.2909 6.8903
O 9.8705 3.3454 4.2235
O 10.7908 2.5814 6.4664
O 10.6172 5.5083 2.9757
O 10.9944 7.5510 4.3072
O 11.7341 7.4859 1.8341
O 13.0275 6.2711 3.5088
O 13.9623 5.9012 6.2774
O 14.7427 8.3074 4.7685
```

Calculated values
N(E_F)	6.167	states/eV/f.u.
total moment	10.71	μB per cell
total energy	-238.98	eV per cell